(1)
A relaxed structure of Sm5Dy2Er2, computed with PBE.

Cell: 8.017 8.017 8.005 Å, 107.49 107.49 36.80°
Positions (direct):
Sm 0.000 0.000 0.000
Sm 0.223 0.223 0.335
Sm 0.333 0.333 0.999
Sm 0.667 0.667 0.001
Sm 0.777 0.777 0.665
Dy 0.445 0.445 0.665
Dy 0.555 0.555 0.335
Er 0.110 0.110 0.665
Er 0.890 0.890 0.335

Values from the calculation:
The value obtained for the relative energy among the computed polymorphs is 0 meV per atom. Its formation energy from the elements is 1.7 kJ/mol of atoms. For the total moment, the calculation gives 0.0 μB per formula unit.


(2)
A relaxed structure of Sm2Dy5Er4, computed with PBE.

Cell: 12.536 12.536 12.536 Å, 164.04 138.03 45.18°
Positions (direct):
Sm 0.232 0.232 0.000
Sm 0.768 0.768 0.000
Dy 0.161 0.357 0.803
Dy 0.446 0.643 0.803
Dy 0.500 0.000 0.500
Dy 0.554 0.357 0.197
Dy 0.839 0.643 0.197
Er 0.097 0.097 0.000
Er 0.189 0.500 0.689
Er 0.811 0.500 0.311
Er 0.903 0.903 0.000

Values from the calculation:
The value obtained for the relative energy among the computed polymorphs is 190 meV per atom. Its formation energy from the elements is 20.1 kJ/mol of atoms. For the total moment, the calculation gives 0.0 μB per formula unit.


(3)
A relaxed structure of Sm5Dy4Er, computed with PBE.

Cell: 8.060 8.060 8.060 Å, 97.91 97.91 136.45°
Positions (direct):
Sm 0.000 0.000 0.000
Sm 0.543 0.543 0.622
Sm 0.543 0.922 0.000
Sm 0.922 0.543 0.000
Sm 0.922 0.922 0.378
Dy 0.243 0.568 0.325
Dy 0.243 0.918 0.675
Dy 0.568 0.243 0.325
Dy 0.918 0.243 0.675
Er 0.469 0.469 0.000

Values from the calculation:
The value obtained for the relative energy among the computed polymorphs is 247 meV per atom. Its formation energy from the elements is 25.4 kJ/mol of atoms. For the total moment, the calculation gives 0.0 μB per formula unit.


(4)
A relaxed structure of Sm4Dy3Er4, computed with PBE.

Cell: 19.823 19.823 19.823 Å, 169.70 165.43 17.88°
Positions (direct):
Sm 0.046 0.046 0.000
Sm 0.318 0.318 0.000
Sm 0.682 0.682 0.000
Sm 0.954 0.954 0.000
Dy 0.136 0.136 0.000
Dy 0.500 0.500 0.000
Dy 0.864 0.864 0.000
Er 0.228 0.228 0.000
Er 0.408 0.408 0.000
Er 0.592 0.592 0.000
Er 0.772 0.772 0.000

Values from the calculation:
The value obtained for the relative energy among the computed polymorphs is 0 meV per atom. Its formation energy from the elements is 1.8 kJ/mol of atoms. For the total moment, the calculation gives 0.0 μB per formula unit.